DFT (PBE) results for crystalline Mg2FeRePb at its relaxed geometry.

Total energy in Ha/atom: -0.157
M_tot in Bohr magnetons per cell: 3.748
Symmetry: P4/mmm, No. 123
Fermi-level density of states in states/eV per cell: 9.89
ΔE_f in eV/atom: 1.28

Structure (POSCAR):
```
Mg2FeRePb
1.0
5.061 0.000 0.000
0.000 5.061 0.000
0.000 0.000 5.222
Mg Fe Re Pb
2 1 1 1
Direct
0.000 0.500 0.000 Mg
0.500 0.000 0.000 Mg
0.000 0.000 0.500 Fe
0.500 0.500 0.000 Re
0.500 0.500 0.500 Pb
```